A relaxed structure of Ca4Ce3GeN8. Source: the Alexandria database, functional PBE.

Cell lengths 6.8558, 6.9026, 7.0592 Å; angles 119.19, 119.05, 90.00 degrees
Closest atoms and distances in Å follow each position.
Fractional positions:
Ca1 0.5000 0.0000 0.0000  2 N 2.36
Ca2 0.5000 0.0000 0.5000  6 N 2.51-2.64
Ca3 0.0000 0.0000 0.0000  6 N 2.49-2.72
Ca4 0.0000 0.0000 0.5000  6 N 2.51-2.64
Ce1 0.5000 0.5000 0.0000  6 N 2.41
Ce2 0.5000 0.5000 0.5000  6 N 2.35-2.51
Ce3 0.0000 0.5000 0.5000  6 N 2.35-2.51
Ge1 0.0000 0.5000 0.0000  4 N 2.14
N1 0.2177 0.7102 0.9873  1 Ge 2.14
N2 0.2697 0.7500 0.5393  2 Ce 2.35, 3 Ca 2.36-2.54
N3 0.2649 0.2801 0.5298  3 Ce 2.36-2.41, 2 Ca 2.51
N4 0.7696 0.7102 0.9873  1 Ge 2.14
N5 0.2304 0.2898 0.0127  1 Ge 2.14
N6 0.7351 0.7199 0.4702  3 Ce 2.36-2.41, 2 Ca 2.51
N7 0.7303 0.2500 0.4607  2 Ce 2.35, 3 Ca 2.36-2.54
N8 0.7823 0.2898 0.0127  1 Ge 2.14

Values from the calculation:
The energy relative to the elements, uncorrected comes out at -0.973 eV/atom. The total energy is -7.037 eV/atom.